7
Lattice="-1.990 1.990 6.520 1.990 -1.990 6.520 1.990 1.990 -6.520" Properties=species:S:1:pos:R:3 comment="BaPrFeO4, relaxed, DFT PBE+U" dft_energy_ev_per_cell=-49.3 space_group=I4mm pbc="T T T"
Ba 0.000 0.000 0.000
Pr 0.000 0.000 9.340
Fe 0.000 0.000 4.572
O 0.000 0.000 2.534
O 1.990 0.000 4.461
O 0.000 0.000 6.955
O 0.000 1.990 4.461